[1]
KMn2Bi2O7: relaxed, GGA+U.

a b c (Å): 5.833 5.833 8.945
angles (deg): 70.97 70.97 60.00
Last column: magnetic moment on the atom in μB.
Positions (direct):
Mn1 0.925 0.925 0.224  3.70
Mn2 0.075 0.075 0.776  3.70
O1 0.035 0.819 0.716  -0.09
O2 0.965 0.570 0.284  -0.09
O3 0.430 0.035 0.716  -0.09
O4 0.181 0.965 0.284  -0.09
O5 0.000 0.000 0.000  -0.21
O6 0.570 0.181 0.284  -0.09
O7 0.819 0.430 0.716  -0.09
Bi1 0.717 0.717 0.850  0.07
Bi2 0.283 0.283 0.150  0.07
K1 0.500 0.500 0.500  0.00

Calculated values
**SG**: R32 (155)
**Calculated total energy**: -6.055 eV per atom

---

[2]
K4MnBi3O8: relaxed, GGA+U.

a b c (Å): 7.086 7.460 7.076
angles (deg): 118.32 119.96 89.96
Last column: magnetic moment on the atom in μB.
Positions (direct):
K1 0.000 0.000 0.500  0.00
K2 0.500 0.000 0.500  -0.01
K3 0.500 0.000 0.000  0.01
K4 0.000 0.000 0.000  0.00
O1 0.776 0.307 0.043  -0.09
O2 0.223 0.692 0.458  -0.09
O3 0.744 0.689 0.967  -0.03
O4 0.256 0.311 0.033  -0.03
O5 0.258 0.293 0.526  -0.08
O6 0.777 0.308 0.542  -0.09
O7 0.742 0.707 0.474  -0.08
O8 0.224 0.693 0.957  -0.09
Bi1 0.500 0.500 0.000  0.00
Bi2 0.000 0.500 0.500  -0.07
Bi3 0.500 0.500 0.500  0.00
Mn1 0.000 0.500 0.000  4.61

Calculated values
**SG**: C2/m (12)
**Calculated total energy**: -5.275 eV per atom